1.
! NaReRu3 | Alexandria | PBE-GGA | relaxed; values from VASP
! **Offset from the most stable computed form**: 0 meV per atom
! **Crystal system**: cubic
! **Magnetic moment**: 0.348 μB per atom
! **DOS at the Fermi energy**: 5.955 states/eV/f.u.
! **E_form**: 1.3823 eV per atom
! **Raw total energy**: -6.9366 eV/atom
! **Space group**: Pm-3m, No. 221
&SYSTEM
  ibrav = 0, nat = 5, ntyp = 3
/
ATOMIC_SPECIES
Na 22.99 Na.upf
Re 186.21 Re.upf
Ru 101.07 Ru.upf
CELL_PARAMETERS angstrom
4.732 0.000 0.000
0.000 4.732 0.000
0.000 0.000 4.732
ATOMIC_POSITIONS angstrom
Na 0.000 0.000 0.000
Re 2.366 2.366 2.366
Ru 0.000 2.366 2.366
Ru 2.366 0.000 2.366
Ru 2.366 2.366 0.000



2.
! Na2ReRu2 | Alexandria | PBE-GGA | relaxed; values from VASP
! **Offset from the most stable computed form**: 297 meV per atom
! **Crystal system**: tetragonal
! **Magnetic moment**: 0.000 μB per atom
! **DOS at the Fermi energy**: 6.065 states/eV/f.u.
! **E_form**: 1.0180 eV per atom
! **Raw total energy**: -5.7096 eV/atom
! **Space group**: I4/mmm, No. 139
&SYSTEM
  ibrav = 0, nat = 5, ntyp = 3
/
ATOMIC_SPECIES
Na 22.99 Na.upf
Re 186.21 Re.upf
Ru 101.07 Ru.upf
CELL_PARAMETERS angstrom
-1.634 1.634 7.764
1.634 -1.634 7.764
1.634 1.634 -7.764
ATOMIC_POSITIONS angstrom
Na 1.634 0.000 3.882
Na 0.000 1.634 3.882
Re 0.000 0.000 0.000
Ru 0.000 0.000 6.423
Ru 0.000 0.000 9.106



3.
! Na2ReRu | Alexandria | PBE-GGA | relaxed; values from VASP
! **Offset from the most stable computed form**: 251 meV per atom
! **Crystal system**: cubic
! **Magnetic moment**: 0.891 μB per atom
! **DOS at the Fermi energy**: 4.689 states/eV/f.u.
! **E_form**: 1.8037 eV per atom
! **Raw total energy**: -4.2868 eV/atom
! **Space group**: Fm-3m, No. 225
&SYSTEM
  ibrav = 0, nat = 4, ntyp = 3
/
ATOMIC_SPECIES
Na 22.99 Na.upf
Re 186.21 Re.upf
Ru 101.07 Ru.upf
CELL_PARAMETERS angstrom
0.000 3.289 3.289
3.289 0.000 3.289
3.289 3.289 0.000
ATOMIC_POSITIONS angstrom
Na 1.644 1.644 1.644
Na 4.933 4.933 4.933
Re 0.000 0.000 0.000
Ru 3.289 3.289 3.289



4.
! NaRe3Ru | Alexandria | PBE-GGA | relaxed; values from VASP
! **Offset from the most stable computed form**: 1007 meV per atom
! **Crystal system**: cubic
! **Magnetic moment**: 0.118 μB per atom
! **DOS at the Fermi energy**: 6.470 states/eV/f.u.
! **E_form**: 3.0924 eV per atom
! **Raw total energy**: -6.4954 eV/atom
! **Space group**: Pm-3m, No. 221
&SYSTEM
  ibrav = 0, nat = 5, ntyp = 3
/
ATOMIC_SPECIES
Na 22.99 Na.upf
Re 186.21 Re.upf
Ru 101.07 Ru.upf
CELL_PARAMETERS angstrom
4.368 0.000 0.000
0.000 4.368 0.000
0.000 0.000 4.368
ATOMIC_POSITIONS angstrom
Na 0.000 0.000 0.000
Re 0.000 0.000 2.184
Re 0.000 2.184 0.000
Re 2.184 0.000 0.000
Ru 2.184 2.184 2.184



Copy entry 2 word for word.
! Na2ReRu2 | Alexandria | PBE-GGA | relaxed; values from VASP
! **Offset from the most stable computed form**: 297 meV per atom
! **Crystal system**: tetragonal
! **Magnetic moment**: 0.000 μB per atom
! **DOS at the Fermi energy**: 6.065 states/eV/f.u.
! **E_form**: 1.0180 eV per atom
! **Raw total energy**: -5.7096 eV/atom
! **Space group**: I4/mmm, No. 139
&SYSTEM
  ibrav = 0, nat = 5, ntyp = 3
/
ATOMIC_SPECIES
Na 22.99 Na.upf
Re 186.21 Re.upf
Ru 101.07 Ru.upf
CELL_PARAMETERS angstrom
-1.634 1.634 7.764
1.634 -1.634 7.764
1.634 1.634 -7.764
ATOMIC_POSITIONS angstrom
Na 1.634 0.000 3.882
Na 0.000 1.634 3.882
Re 0.000 0.000 0.000
Ru 0.000 0.000 6.423
Ru 0.000 0.000 9.106